# GGA+U Mn2SnO, relaxed
# - Energy above the lowest structure with this stoichiometry: 0 meV/atom
data_Mn2SnO
_chemical_formula_sum 'Mn8 Sn4 O4'
_symmetry_space_group_name_H-M 'I -4 2 d'
_symmetry_Int_Tables_number 122
_symmetry_space_group_name_Hall 'I -4 2bw'
_cell_length_a 6.342
_cell_length_b 6.342
_cell_length_c 7.878
_cell_angle_alpha 90.00
_cell_angle_beta 90.00
_cell_angle_gamma 90.00
loop_
_atom_site_label
_atom_site_fract_x
_atom_site_fract_y
_atom_site_fract_z
Mn1 0.137 0.250 0.125
Sn1 0.000 0.000 0.500
O1 0.000 0.000 0.000